No. 1
! TlPW2 (meta-GGA SCAN, PBEsol geometry); values from VASP
! Energy relative to the lowest polymorph listed for this composition ... 0.97 eV/f.u.
! Electronic total energy ... -54.79 eV per atom
! Symmetry ... No. 71
! DFT formation energy ... 72.0 kJ per mole of atoms
&SYSTEM
  ibrav = 0, nat = 4, ntyp = 3
/
ATOMIC_SPECIES
P 30.97 P.upf
W 183.84 W.upf
Tl 204.38 Tl.upf
ATOMIC_POSITIONS angstrom
P -0.541 -0.676 -1.346
W -3.633 -1.289 0.206
W -1.457 0.867 0.151
Tl -0.976 -1.872 1.333
CELL_PARAMETERS angstrom
-1.082 -1.351 -2.691
-1.952 -3.745 2.665
-2.056 4.674 0.383



No. 2
! LiFe2Se (meta-GGA SCAN, PBEsol geometry); values from VASP
! Electronic total energy ... -14.78 eV per atom
! Formation energy from raw total energies ... -0.4 eV per formula unit
! Symmetry ... No. 38
&SYSTEM
  ibrav = 0, nat = 4, ntyp = 3
/
ATOMIC_SPECIES
Se 78.96 Se.upf
Fe 55.84 Fe.upf
Li 6.94 Li.upf
ATOMIC_POSITIONS angstrom
Se 1.514 1.759 4.848
Fe 0.000 1.759 3.057
Fe 1.514 0.000 2.085
Li 0.000 1.759 0.464
CELL_PARAMETERS angstrom
3.028 0.000 0.000
0.000 3.518 0.000
0.000 -1.759 5.233



No. 3
! BaMnPt3 (meta-GGA SCAN, PBEsol geometry); values from VASP
! Electronic total energy ... -51.91 eV per atom
! Symmetry ... No. 221
! DFT formation energy ... 170.0 kJ per mole of atoms
&SYSTEM
  ibrav = 0, nat = 5, ntyp = 3
/
ATOMIC_SPECIES
Pt 195.08 Pt.upf
Ba 137.33 Ba.upf
Mn 54.94 Mn.upf
ATOMIC_POSITIONS angstrom
Pt 2.609 0.000 0.000
Pt 0.000 0.000 2.609
Pt 0.000 2.609 0.000
Ba 0.000 0.000 0.000
Mn 2.609 2.609 2.609
CELL_PARAMETERS angstrom
5.218 0.000 0.000
0.000 5.218 0.000
0.000 0.000 5.218



No. 4
! Te2PbSeI (meta-GGA SCAN, PBEsol geometry); values from VASP
! Energy relative to the lowest polymorph listed for this composition ... 0.00 eV/f.u.
! Electronic total energy ... -41.20 eV per atom
! Formation energy from raw total energies ... 1.1 eV per formula unit
! Symmetry ... No. 123
&SYSTEM
  ibrav = 0, nat = 5, ntyp = 4
/
ATOMIC_SPECIES
Pb 207.20 Pb.upf
Te 127.60 Te.upf
I 126.90 I.upf
Se 78.96 Se.upf
ATOMIC_POSITIONS angstrom
Pb 1.827 -3.773 2.231
Te 1.898 -1.709 -1.038
Te -1.437 -2.161 0.929
I 1.367 0.097 2.340
Se 0.000 0.000 0.000
CELL_PARAMETERS angstrom
-2.875 -4.321 1.858
3.795 -3.417 -2.076
2.734 0.193 4.680



No. 5
! CaIr2Ru (meta-GGA SCAN, PBEsol geometry); values from VASP
! Energy relative to the lowest polymorph listed for this composition ... 0.40 eV/f.u.
! Electronic total energy ... -46.49 eV per atom
! Symmetry ... No. 25
! DFT formation energy ... 17.8 kJ per mole of atoms
&SYSTEM
  ibrav = 0, nat = 4, ntyp = 3
/
ATOMIC_SPECIES
Ca 40.08 Ca.upf
Ir 192.22 Ir.upf
Ru 101.07 Ru.upf
ATOMIC_POSITIONS angstrom
Ca -4.863 0.809 1.677
Ir -0.180 0.130 0.036
Ir -2.452 -0.931 1.202
Ru -2.190 1.581 0.432
CELL_PARAMETERS angstrom
-1.534 -1.739 -1.412
-0.785 -1.990 3.305
-4.911 3.545 0.969



No. 6
! TcIrPt (meta-GGA SCAN, PBEsol geometry); values from VASP
! Energy relative to the lowest polymorph listed for this composition ... 0.00 eV/f.u.
! Electronic total energy ... -59.02 eV per atom
! Symmetry ... No. 107
! DFT formation energy ... -23.0 kJ per mole of atoms
&SYSTEM
  ibrav = 0, nat = 3, ntyp = 3
/
ATOMIC_SPECIES
Pt 195.08 Pt.upf
Ir 192.22 Ir.upf
Tc 98.00 Tc.upf
ATOMIC_POSITIONS angstrom
Pt 0.000 0.000 3.834
Ir 0.000 0.000 0.105
Tc 1.357 1.357 1.876
CELL_PARAMETERS angstrom
2.713 0.000 0.000
0.000 2.713 0.000
-1.357 -1.357 5.816



No. 7
! Nd2SeO2 (meta-GGA SCAN, PBEsol geometry); values from VASP
! Electronic total energy ... -27.28 eV per atom
! Formation energy from raw total energies ... -16.7 eV per formula unit
! Symmetry ... No. 164
&SYSTEM
  ibrav = 0, nat = 5, ntyp = 3
/
ATOMIC_SPECIES
Se 78.96 Se.upf
O 16.00 O.upf
Nd 144.24 Nd.upf
ATOMIC_POSITIONS angstrom
Se 0.000 0.000 0.000
O -1.732 1.156 2.777
O -0.310 3.601 3.355
Nd -2.627 3.180 3.592
Nd 0.584 1.578 2.540
CELL_PARAMETERS angstrom
-2.831 -2.019 1.905
3.436 0.788 1.815
-2.647 5.988 2.412



No. 8
! Li3BiP2O8 (meta-GGA SCAN, PBEsol geometry); values from VASP
! Energy relative to the lowest polymorph listed for this composition ... 0.30 eV/f.u.
! Electronic total energy ... -13.50 eV per atom
! Formation energy from raw total energies ... -32.6 eV per formula unit
! Symmetry ... No. 14
&SYSTEM
  ibrav = 0, nat = 56, ntyp = 4
/
ATOMIC_SPECIES
O 16.00 O.upf
P 30.97 P.upf
Li 6.94 Li.upf
Bi 208.98 Bi.upf
ATOMIC_POSITIONS angstrom
O -3.452 -7.623 -3.465
O -0.038 -4.002 -5.302
O -5.771 -13.786 -6.646
O -3.512 -9.636 -1.313
O -6.164 -8.309 -4.167
O -4.308 0.264 -3.410
O -8.029 -10.354 -4.167
O -3.462 -9.498 -5.128
O -3.720 -4.328 -2.852
O -7.289 -16.009 -0.471
O -3.846 -2.146 -0.986
O -3.564 -4.386 -5.905
O -5.308 -16.196 -4.222
O -6.104 -6.296 -6.319
O -2.064 -0.359 -2.519
O -2.443 -5.581 -1.059
O -2.936 -2.153 -4.788
O -7.174 -10.351 -6.572
O -9.147 -15.115 -2.719
O -2.328 0.077 -7.160
O -1.428 -3.477 -2.143
O -6.053 -11.546 -1.727
O -6.155 -6.433 -2.503
O -3.518 -7.045 -5.919
O -6.098 -8.887 -1.713
O -9.578 -11.930 -2.329
O -5.896 -11.603 -4.779
O -8.188 -12.454 -5.488
O -0.469 -0.817 -4.913
O -1.588 -5.578 -3.465
O -7.552 -15.573 -5.113
O -6.681 -13.779 -2.844
P -6.243 -13.088 -1.540
P -3.373 -2.844 -6.091
P -6.367 -16.568 -5.272
P -2.977 -8.039 -4.879
P -6.640 -7.892 -2.753
P -3.249 0.637 -2.360
P -7.310 -11.175 -5.280
P -2.306 -4.757 -2.351
Li -1.623 -5.254 -5.574
Li -3.731 -10.769 -6.522
Li -5.886 -5.162 -1.109
Li -4.077 -2.338 -3.099
Li -1.117 -1.966 -3.537
Li -2.444 -0.200 -5.170
Li -8.499 -13.966 -4.094
Li -5.540 -13.594 -4.533
Li -6.251 -8.567 -6.161
Li -7.994 -10.678 -2.058
Li -3.366 -7.365 -1.471
Li -7.173 -15.732 -2.461
Bi -4.877 -5.656 -4.383
Bi -8.038 -14.255 -7.034
Bi -1.579 -1.677 -0.597
Bi -4.740 -10.276 -3.249
CELL_PARAMETERS angstrom
-4.675 1.781 -1.288
1.561 -0.543 -6.211
-6.502 -17.169 -0.132



No. 9
! SrNiAg2 (meta-GGA SCAN, PBEsol geometry); values from VASP
! Electronic total energy ... -25.05 eV per atom
! Symmetry ... No. 123
! DFT formation energy ... 23.3 kJ per mole of atoms
&SYSTEM
  ibrav = 0, nat = 4, ntyp = 3
/
ATOMIC_SPECIES
Ag 107.87 Ag.upf
Sr 87.62 Sr.upf
Ni 58.69 Ni.upf
ATOMIC_POSITIONS angstrom
Ag 0.000 0.000 0.000
Ag 2.059 2.057 0.000
Sr 0.000 2.057 2.247
Ni 2.059 0.000 2.247
CELL_PARAMETERS angstrom
4.118 0.000 0.000
0.000 4.115 0.000
0.000 0.000 4.493



No. 10
! Li2ReW (meta-GGA SCAN, PBEsol geometry); values from VASP
! Energy relative to the lowest polymorph listed for this composition ... 0.00 eV/f.u.
! Electronic total energy ... -36.16 eV per atom
! Symmetry ... No. 35
! DFT formation energy ... 22.1 kJ per mole of atoms
&SYSTEM
  ibrav = 0, nat = 4, ntyp = 3
/
ATOMIC_SPECIES
Re 186.21 Re.upf
Li 6.94 Li.upf
W 183.84 W.upf
ATOMIC_POSITIONS angstrom
Re 0.000 0.000 4.653
Li 0.000 0.000 0.108
Li 0.858 1.242 6.880
W 0.858 1.242 2.455
CELL_PARAMETERS angstrom
2.657 -0.002 0.000
-0.941 2.485 0.000
0.000 0.000 9.397



No. 11
! GaPPd5 (meta-GGA SCAN, PBEsol geometry); values from VASP
! Electronic total energy ... -27.82 eV per atom
! Symmetry ... No. 123
! DFT formation energy ... -57.1 kJ per mole of atoms
&SYSTEM
  ibrav = 0, nat = 7, ntyp = 3
/
ATOMIC_SPECIES
Pd 106.42 Pd.upf
P 30.97 P.upf
Ga 69.72 Ga.upf
ATOMIC_POSITIONS angstrom
Pd 1.935 0.000 4.776
Pd 0.000 0.000 0.000
Pd 0.000 1.935 4.776
Pd 0.000 1.935 1.961
Pd 1.935 0.000 1.961
P 0.000 0.000 3.368
Ga 1.935 1.935 0.000
CELL_PARAMETERS angstrom
3.869 0.000 0.000
0.000 3.869 0.000
0.000 0.000 6.736



No. 12
! SrLaTe (meta-GGA SCAN, PBEsol geometry); values from VASP
! Energy relative to the lowest polymorph listed for this composition ... 0.00 eV/f.u.
! Electronic total energy ... -35.04 eV per atom
! Formation energy from raw total energies ... -2.5 eV per formula unit
! Symmetry ... No. 216
&SYSTEM
  ibrav = 0, nat = 3, ntyp = 3
/
ATOMIC_SPECIES
Te 127.60 Te.upf
La 138.91 La.upf
Sr 87.62 Sr.upf
ATOMIC_POSITIONS angstrom
Te -2.467 0.561 -2.057
La 0.000 0.000 0.000
Sr -4.935 1.121 -4.115
CELL_PARAMETERS angstrom
-1.545 2.751 -4.290
-3.298 -2.221 -3.542
-5.027 1.713 -0.397



What did the fourth record say?
! Te2PbSeI (meta-GGA SCAN, PBEsol geometry); values from VASP
! Energy relative to the lowest polymorph listed for this composition ... 0.00 eV/f.u.
! Electronic total energy ... -41.20 eV per atom
! Formation energy from raw total energies ... 1.1 eV per formula unit
! Symmetry ... No. 123
&SYSTEM
  ibrav = 0, nat = 5, ntyp = 4
/
ATOMIC_SPECIES
Pb 207.20 Pb.upf
Te 127.60 Te.upf
I 126.90 I.upf
Se 78.96 Se.upf
ATOMIC_POSITIONS angstrom
Pb 1.827 -3.773 2.231
Te 1.898 -1.709 -1.038
Te -1.437 -2.161 0.929
I 1.367 0.097 2.340
Se 0.000 0.000 0.000
CELL_PARAMETERS angstrom
-2.875 -4.321 1.858
3.795 -3.417 -2.076
2.734 0.193 4.680



Please write out number 2 again, unchanged.
! LiFe2Se (meta-GGA SCAN, PBEsol geometry); values from VASP
! Electronic total energy ... -14.78 eV per atom
! Formation energy from raw total energies ... -0.4 eV per formula unit
! Symmetry ... No. 38
&SYSTEM
  ibrav = 0, nat = 4, ntyp = 3
/
ATOMIC_SPECIES
Se 78.96 Se.upf
Fe 55.84 Fe.upf
Li 6.94 Li.upf
ATOMIC_POSITIONS angstrom
Se 1.514 1.759 4.848
Fe 0.000 1.759 3.057
Fe 1.514 0.000 2.085
Li 0.000 1.759 0.464
CELL_PARAMETERS angstrom
3.028 0.000 0.000
0.000 3.518 0.000
0.000 -1.759 5.233